Density functional theory data (GGA-PBE) for a relaxed structure of H2IrAu.

The calculation puts the energy above the most stable polymorph in this dataset at 616 meV/atom. The final energy is -62.15 eV per cell. Its crystal system is cubic.

The space group is Fm-3m (No. 225) and the conventional cell measures 5.429, 5.429 and 5.429 Å, with angles of 90.00, 90.00 and 90.00 degrees. The distinct sites, in fractional coordinates, are H at (0.250, 0.250, 0.250), Ir at (0.000, 0.000, 0.000) and Au at (0.000, 0.000, 0.500).

Density functional theory data (GGA-PBE) for a relaxed structure of HIrAu3.

The calculation puts the energy above the most stable polymorph in this dataset at 0 meV/atom. The final energy is -19.30 eV per cell. Its crystal system is cubic.

The space group is Pm-3m (No. 221) and the conventional cell measures 4.152, 4.152 and 4.152 Å, with angles of 90.00, 90.00 and 90.00 degrees. The distinct sites, in fractional coordinates, are H at (0.000, 0.000, 0.000), Ir at (0.500, 0.500, 0.500) and Au at (0.000, 0.000, 0.500).

Density functional theory data (GGA-PBE) for a relaxed structure of H12Ir5Au3.

The final energy is -692.58 eV per cell. Its crystal system is cubic.

The space group is Ia-3d (No. 230) and the conventional cell measures 11.265, 11.265 and 11.265 Å, with angles of 90.00, 90.00 and 90.00 degrees. The distinct sites, in fractional coordinates, are H at (0.047, 0.066, 0.638), Ir at (0.000, 0.000, 0.000), Ir at (0.000, 0.250, 0.375) and Au at (0.000, 0.250, 0.125).

- Look up the final energy of the second one.
  -19.30 eV per cell

- Which of these has the highest final energy?
  HIrAu3

- final energy of number 2 (HIrAu3)?
  -19.30 eV per cell

Repeat the second record exactly.
Density functional theory data (GGA-PBE) for a relaxed structure of HIrAu3.

The calculation puts the energy above the most stable polymorph in this dataset at 0 meV/atom. The final energy is -19.30 eV per cell. Its crystal system is cubic.

The space group is Pm-3m (No. 221) and the conventional cell measures 4.152, 4.152 and 4.152 Å, with angles of 90.00, 90.00 and 90.00 degrees. The distinct sites, in fractional coordinates, are H at (0.000, 0.000, 0.000), Ir at (0.500, 0.500, 0.500) and Au at (0.000, 0.000, 0.500).